No. 1
Material: Mg2AlRu
Method: DFT, SCAN
State: single point on PBEsol structure

Total energy, eV/cell: -53.9
ρ, g/cm³: 4.31
Magnetization, μB per formula unit: 0.06

Cell lengths 3.1788, 3.1788, 6.7374 Å; angles 90.00, 90.00, 90.00 degrees
Element x y z (fractional)
1 Mg 0.0000 0.0000 0.0000
2 Mg 0.5000 0.5000 0.3192
3 Al 0.5000 0.5000 0.7214
4 Ru 0.0000 0.0000 0.5616

=====

No. 2
Material: BaIrCl2
Method: DFT, SCAN
State: single point on PBEsol structure

Energy above the lowest structure with this stoichiometry, eV per atom: 0.987
ρ, g/cm³: 6.01
Magnetization, μB per formula unit: 0.71
Formation energy (no corrections), meV/atom: 31

Cell lengths 4.0824, 4.0824, 23.0097 Å; angles 90.00, 90.00, 120.00 degrees
Element x y z (fractional)
1 Ba 0.0000 0.0000 0.0000
2 Ba 0.3333 0.6667 0.6667
3 Ba 0.6667 0.3333 0.3333
4 Ir 0.0000 0.0000 0.5000
5 Ir 0.3333 0.6667 0.1667
6 Ir 0.6667 0.3333 0.8333
7 Cl 0.0000 0.0000 0.1284
8 Cl 0.0000 0.0000 0.8716
9 Cl 0.3333 0.6667 0.5383
10 Cl 0.3333 0.6667 0.7950
11 Cl 0.6667 0.3333 0.2050
12 Cl 0.6667 0.3333 0.4617

=====

No. 3
Material: LiRh2Br
Method: DFT, SCAN
State: single point on PBEsol structure

Energy above the lowest structure with this stoichiometry, eV per atom: 0.238
ρ, g/cm³: 8.05
Magnetization, μB per formula unit: 1.39
Formation energy (no corrections), meV/atom: 227

Cell lengths 3.6369, 3.6369, 9.1258 Å; angles 90.00, 90.00, 90.00 degrees
Element x y z (fractional)
1 Li 0.0000 0.0000 0.0000
2 Li 0.5000 0.5000 0.5000
3 Rh 0.0000 0.5000 0.2500
4 Rh 0.0000 0.5000 0.7500
5 Rh 0.5000 0.0000 0.2500
6 Rh 0.5000 0.0000 0.7500
7 Br 0.0000 0.0000 0.5000
8 Br 0.5000 0.5000 0.0000

=====

No. 4
Material: KZnPb3
Method: DFT, SCAN
State: single point on PBEsol structure

Total energy, eV/cell: -249.0
ρ, g/cm³: 7.37
Magnetization, μB per formula unit: 0.00

Cell lengths 5.4684, 5.4684, 5.4684 Å; angles 90.00, 90.00, 90.00 degrees
Element x y z (fractional)
1 K 0.0000 0.0000 0.0000
2 Zn 0.5000 0.5000 0.5000
3 Pb 0.0000 0.5000 0.5000
4 Pb 0.5000 0.0000 0.5000
5 Pb 0.5000 0.5000 0.0000

=====

No. 5
Material: Li2CuBPt
Method: DFT, SCAN
State: single point on PBEsol structure

Total energy, eV/cell: -96.1
ρ, g/cm³: 7.92
Magnetization, μB per formula unit: 0.00

Cell lengths 3.9810, 3.9810, 3.7485 Å; angles 90.00, 90.00, 90.00 degrees
Element x y z (fractional)
1 Li 0.0000 0.5000 0.0000
2 Li 0.5000 0.0000 0.0000
3 Cu 0.0000 0.0000 0.5000
4 B 0.0000 0.0000 0.0000
5 Pt 0.5000 0.5000 0.5000

=====

No. 6
Material: LaAsN2
Method: DFT, SCAN
State: single point on PBEsol structure

ρ, g/cm³: 5.78
Magnetization, μB per formula unit: 0.00
Formation energy (no corrections), meV/atom: -256

Cell lengths 4.9699, 4.9699, 11.2494 Å; angles 90.00, 90.00, 90.00 degrees
Element x y z (fractional)
1 La 0.0000 0.0000 0.0000
2 La 0.0000 0.5000 0.2500
3 La 0.5000 0.0000 0.7500
4 La 0.5000 0.5000 0.5000
5 As 0.0000 0.0000 0.5000
6 As 0.0000 0.5000 0.7500
7 As 0.5000 0.0000 0.2500
8 As 0.5000 0.5000 0.0000
9 N 0.1958 0.2500 0.6250
10 N 0.2500 0.6958 0.8750
11 N 0.2500 0.8042 0.3750
12 N 0.3042 0.2500 0.1250
13 N 0.6958 0.7500 0.1250
14 N 0.7500 0.1958 0.3750
15 N 0.7500 0.3042 0.8750
16 N 0.8042 0.7500 0.6250

=====

No. 7
Material: Ir2RuPt
Method: DFT, SCAN
State: single point on PBEsol structure

Energy above the lowest structure with this stoichiometry, eV per atom: 0.021
ρ, g/cm³: 20.07
Magnetization, μB per formula unit: 0.00

Cell lengths 2.7072, 3.8362, 5.4227 Å; angles 90.00, 90.00, 90.00 degrees
Element x y z (fractional)
1 Ir 0.0000 0.0000 0.0000
2 Ir 0.5000 0.5000 0.2486
3 Ru 0.5000 0.5000 0.7606
4 Pt 0.0000 0.0000 0.5064

=====

No. 8
Material: HfFeCo2Ir
Method: DFT, SCAN
State: single point on PBEsol structure

Total energy, eV/cell: -181.8
ρ, g/cm³: 10.56
Magnetization, μB per formula unit: 6.58

Cell lengths 4.3877, 4.3877, 4.4471 Å; angles 90.00, 90.00, 90.00 degrees
Element x y z (fractional)
1 Hf 0.0000 0.0000 0.0000
2 Fe 0.5000 0.5000 0.0000
3 Co 0.0000 0.5000 0.5000
4 Co 0.5000 0.0000 0.5000
5 Ir 0.5000 0.5000 0.5000

=====

No. 9
Material: MgAl2Tl
Method: DFT, SCAN
State: single point on PBEsol structure

Total energy, eV/cell: -92.3
ρ, g/cm³: 5.62
Magnetization, μB per formula unit: 0.00

Cell lengths 3.4247, 3.4247, 7.1168 Å; angles 90.00, 90.00, 90.00 degrees
Element x y z (fractional)
1 Mg 0.0000 0.0000 0.0000
2 Al 0.0000 0.0000 0.5611
3 Al 0.5000 0.5000 0.7551
4 Tl 0.5000 0.5000 0.2863

=====

No. 10
Material: Mg2PRu
Method: DFT, SCAN
State: single point on PBEsol structure

Total energy, eV/cell: -164.9
ρ, g/cm³: 4.75
Magnetization, μB per formula unit: 0.45

Cell lengths 2.9583, 2.9583, 24.9822 Å; angles 90.00, 90.00, 120.00 degrees
Element x y z (fractional)
1 Mg 0.0000 0.0000 0.2489
2 Mg 0.0000 0.0000 0.7511
3 Mg 0.3333 0.6667 0.4177
4 Mg 0.3333 0.6667 0.9156
5 Mg 0.6667 0.3333 0.0844
6 Mg 0.6667 0.3333 0.5823
7 P 0.0000 0.0000 0.0000
8 P 0.3333 0.6667 0.6667
9 P 0.6667 0.3333 0.3333
10 Ru 0.0000 0.0000 0.5000
11 Ru 0.3333 0.6667 0.1667
12 Ru 0.6667 0.3333 0.8333

=====

No. 11
Material: TlNi2Ir
Method: DFT, SCAN
State: single point on PBEsol structure

Energy above the lowest structure with this stoichiometry, eV per atom: 0.050
ρ, g/cm³: 15.23
Magnetization, μB per formula unit: 0.00

Cell lengths 2.9608, 2.9608, 6.3936 Å; angles 90.00, 90.00, 90.00 degrees
Element x y z (fractional)
1 Tl 0.0000 0.0000 0.0000
2 Ni 0.0000 0.0000 0.5320
3 Ni 0.5000 0.5000 0.7284
4 Ir 0.5000 0.5000 0.3185

=====

No. 12
Material: Sr3Li3La5O12
Method: DFT, SCAN
State: single point on PBEsol structure

ρ, g/cm³: 5.99
Magnetization, μB per formula unit: 0.00
Formation energy (no corrections), meV/atom: -3196

Cell lengths 6.8209, 3.5466, 13.4125 Å; angles 90.00, 90.24, 90.00 degrees
Element x y z (fractional)
1 Sr 0.0000 0.0000 0.0000
2 Sr 0.1621 0.5000 0.5516
3 Sr 0.6828 0.5000 0.5004
4 Li 0.2047 0.5000 0.1504
5 Li 0.4607 0.0000 0.6462
6 Li 0.7115 0.5000 0.9166
7 La 0.3323 0.5000 0.8221
8 La 0.3350 0.0000 0.3273
9 La 0.5033 0.0000 0.0701
10 La 0.8440 0.0000 0.7409
11 La 0.8438 0.5000 0.2528
12 O 0.0821 0.0000 0.1803
13 O 0.1215 0.5000 0.3669
14 O 0.2199 0.0000 0.7218
15 O 0.2817 0.5000 0.0076
16 O 0.4060 0.0000 0.5057
17 O 0.4603 0.5000 0.2063
18 O 0.5775 0.0000 0.8908
19 O 0.5945 0.5000 0.6934
20 O 0.7033 0.0000 0.3410
21 O 0.7602 0.5000 0.0595
22 O 0.8954 0.0000 0.5737
23 O 0.9620 0.5000 0.8514